# 1
{
  "formula": "BC2",
  "functional": "GGA-PBE",
  "state": "relaxed",
  "rho_g_cm3": 3.024,
  "m_tot_mub_per_atom": 0.00,
  "ef_ev_per_atom": 0.299,
  "final_energy_ev_per_atom": -8.076,
  "dos_ef_per_ev_atom": 0.09,
  "e_above_lowest_polymorph_mev_per_atom": 58.8,
  "lattice_angstrom": [[-0.888, -2.364, -0.371], [2.233, -0.710, -0.821], [3.197, -2.966, 11.257]],
  "species": ["B", "B", "B", "B", "C", "C", "C", "C", "C", "C", "C", "C"],
  "frac_coords": [[0.500, 0.000, 0.926], [0.000, 0.000, 0.642], [0.000, 0.500, 0.759], [0.500, 0.500, 0.175], [0.500, 0.500, 0.836], [0.500, 0.500, 0.486], [0.500, 0.000, 0.559], [0.500, 0.000, 0.265], [0.000, 0.000, 0.335], [0.000, 0.500, 0.412], [0.000, 0.000, 0.018], [0.000, 0.500, 0.086]]
}

# 2
{
  "formula": "AuBr2Cl",
  "functional": "GGA-PBE",
  "state": "relaxed",
  "rho_g_cm3": 6.327,
  "m_tot_mub_per_atom": 0.00,
  "final_energy_ev_per_atom": -1.918,
  "formation_energy_uncorrected_ev_per_atom": 0.1997,
  "dos_ef_per_ev_atom": 1.54,
  "e_above_lowest_polymorph_mev_per_atom": 374.6,
  "lattice_angstrom": [[-1.782, 0.575, 7.629], [-0.555, -3.180, 7.162], [2.109, -0.253, 7.563]],
  "species": ["Au", "Br", "Br", "Cl"],
  "frac_coords": [[0.752, 0.752, 0.752], [0.018, 0.018, 0.018], [0.253, 0.253, 0.253], [0.477, 0.477, 0.477]]
}

# 3
{
  "formula": "AcPaAsAu",
  "functional": "GGA-PBE",
  "state": "relaxed",
  "rho_g_cm3": 11.468,
  "m_tot_mub_per_atom": 0.80,
  "ef_ev_per_atom": -0.459,
  "final_energy_ev_per_atom": -5.842,
  "dos_ef_per_ev_atom": 2.22,
  "lattice_angstrom": [[5.307, 0.000, 0.000], [2.654, 4.596, 0.000], [2.654, 1.532, 4.333]],
  "species": ["Ac", "Pa", "Au", "As"],
  "frac_coords": [[0.250, 0.250, 0.250], [0.750, 0.750, 0.750], [0.000, 0.000, 0.000], [0.500, 0.500, 0.500]]
}